No. 1
This record from Alexandria via LeMat-Bulk describes InReOs after structural relaxation. The functional is GGA-PBEsol.

It has space group P3m1 (No. 156), with a = 2.8355 Å, b = 2.8355 Å, c = 6.8953 Å, α = 90.00°, β = 90.00° and γ = 120.00°. Symmetry generates all atoms from In at (0.0000, 0.0000, 0.0000), Re at (0.6667, 0.3333, 0.3551) and Os at (0.3333, 0.6667, 0.6483).

Its energy of formation is 340 meV/atom.

No. 2
This record from Alexandria via LeMat-Bulk describes ZnIn2ReOs after structural relaxation. The functional is GGA-PBEsol.

It has space group P4/mmm (No. 123), with a = 5.023 Å, b = 5.023 Å, c = 4.714 Å, α = 90.00°, β = 90.00° and γ = 90.00°. Symmetry generates all atoms from Zn at (0.000, 0.000, 0.000), In at (0.000, 0.500, 0.500), Re at (0.500, 0.500, 0.000) and Os at (0.000, 0.000, 0.500).

Its energy of formation is 1631 meV/atom.

No. 3
This record from Alexandria via LeMat-Bulk describes InOsRu2 after structural relaxation. The functional is GGA-PBEsol.

It has space group P4/mmm (No. 123), with a = 4.528 Å, b = 4.528 Å, c = 2.918 Å, α = 90.00°, β = 90.00° and γ = 90.00°. Symmetry generates all atoms from In at (0.000, 0.000, 0.000), Os at (0.500, 0.500, 0.000) and Ru at (0.000, 0.500, 0.500).

Its energy of formation is 464 meV/atom.

No. 4
This record from Alexandria via LeMat-Bulk describes InOsRu2 after structural relaxation. The functional is GGA-PBEsol.

It has space group P4mm (No. 99), with a = 2.794 Å, b = 2.794 Å, c = 7.647 Å, α = 90.00°, β = 90.00° and γ = 90.00°. Symmetry generates all atoms from In at (0.000, 0.000, 0.000), Os at (0.500, 0.500, 0.277), Ru at (0.000, 0.000, 0.504) and Ru at (0.500, 0.500, 0.734).

Its energy of formation is 273 meV/atom.

No. 5
This record from Alexandria via LeMat-Bulk describes InOsRu2 after structural relaxation. The functional is GGA-PBEsol.

It has space group I-4m2 (No. 119), with a = 3.822 Å, b = 3.822 Å, c = 8.118 Å, α = 90.00°, β = 90.00° and γ = 90.00°. Symmetry generates all atoms from In at (0.000, 0.000, 0.000), Os at (0.000, 0.500, 0.250), Ru at (0.000, 0.000, 0.500) and Ru at (0.000, 0.500, 0.750).

Its energy of formation is 382 meV/atom.

No. 6
This record from Alexandria via LeMat-Bulk describes In2SbOs after structural relaxation. The functional is GGA-PBEsol.

It has space group R3m (No. 160, hexagonal axes), with a = 3.1653 Å, b = 3.1653 Å, c = 29.9850 Å, α = 90.00°, β = 90.00° and γ = 120.00°. Symmetry generates all atoms from In at (0.0000, 0.0000, 0.0000), In at (0.0000, 0.0000, 0.2408), Sb at (0.0000, 0.0000, 0.7712) and Os at (0.0000, 0.0000, 0.5027).

The calculation puts the uncorrected formation energy at 0.311 eV/atom.

No. 7
This record from Alexandria via LeMat-Bulk describes In2SbOs after structural relaxation. The functional is GGA-PBEsol.

It has space group P4mm (No. 99), with a = 3.167 Å, b = 3.167 Å, c = 8.515 Å, α = 90.00°, β = 90.00° and γ = 90.00°. Symmetry generates all atoms from In at (0.000, 0.000, 0.000), In at (0.500, 0.500, 0.284), Sb at (0.500, 0.500, 0.677) and Os at (0.000, 0.000, 0.496).

The calculation puts the uncorrected formation energy at 0.188 eV/atom.

No. 8
This record from Alexandria via LeMat-Bulk describes InSbOs2 after structural relaxation. The functional is GGA-PBEsol.

It has space group P4/mmm (No. 123), with a = 3.202 Å, b = 3.202 Å, c = 6.477 Å, α = 90.00°, β = 90.00° and γ = 90.00°. Symmetry generates all atoms from In at (0.000, 0.000, 0.000), Sb at (0.000, 0.000, 0.500) and Os at (0.500, 0.500, 0.259).

The calculation puts the uncorrected formation energy at 0.473 eV/atom.